[1]
# Li2PmYGe2

A relaxed structure of Li2PmYGe2 (GGA-PBE, Alexandria via LeMat-Bulk).

The calculation puts the formation energy at -0.696 eV/atom. As for the magnetic moment: 0.0 μB/cell. The value obtained for the final energy is -28.5 eV for the cell shown.

The structure belongs to space group P-3m1 (No. 164); the cell edges are 4.4449, 4.4449 and 7.3365 Å and the angles 90.00°, 90.00° and 120.00°. The asymmetric unit holds Li at (0.3333, 0.6667, 0.2297), Pm at (0.0000, 0.0000, 0.5000), Y at (0.0000, 0.0000, 0.0000) and Ge at (0.3333, 0.6667, 0.7575).



[2]
# Li2Pm2YGe2

A relaxed structure of Li2Pm2YGe2 (GGA-PBE, Alexandria via LeMat-Bulk).

The calculation puts the formation energy at -0.496 eV/atom. As for the magnetic moment: 0.0 μB/cell. The value obtained for the final energy is -97.5 eV for the cell shown.

The structure belongs to space group R-3m (No. 166, hexagonal axes); the cell edges are 4.4379, 4.4379 and 28.6449 Å and the angles 90.00°, 90.00° and 120.00°. The asymmetric unit holds Li at (0.0000, 0.0000, 0.1090), Pm at (0.0000, 0.0000, 0.3764), Y at (0.0000, 0.0000, 0.5000) and Ge at (0.0000, 0.0000, 0.2297).



[3]
# Li3Pm2ZnGe4

A relaxed structure of Li3Pm2ZnGe4 (GGA-PBE, Alexandria via LeMat-Bulk).

The calculation puts the formation energy at -0.553 eV/atom. As for the magnetic moment: 0.0 μB/cell. The value obtained for the final energy is -40.5 eV for the cell shown.

The structure belongs to space group P-4m2 (No. 115); the cell edges are 4.1462, 4.1462 and 10.7716 Å and the angles 90.00°, 90.00° and 90.00°. The asymmetric unit holds Li at (0.0000, 0.0000, 0.0000), Li at (0.0000, 0.5000, 0.6331), Pm at (0.0000, 0.5000, 0.2539), Zn at (0.5000, 0.5000, 0.0000), Ge at (0.0000, 0.0000, 0.5000), Ge at (0.0000, 0.5000, 0.8572) and Ge at (0.5000, 0.5000, 0.5000).



[4]
# LiPmZnGe

A relaxed structure of LiPmZnGe (GGA-PBE, Alexandria via LeMat-Bulk).

The calculation puts the formation energy at -0.437 eV/atom. As for the magnetic moment: 0.0 μB/cell. The value obtained for the final energy is -57.2 eV for the cell shown.

The structure belongs to space group F-43m (No. 216); the cell edges are 6.9136, 6.9136 and 6.9136 Å and the angles 90.00°, 90.00° and 90.00°. The asymmetric unit holds Li at (0.0000, 0.0000, 0.0000), Pm at (0.0000, 0.0000, 0.5000), Zn at (0.2500, 0.2500, 0.2500) and Ge at (0.2500, 0.2500, 0.7500).